# 1
Below is a relaxed structure of K2CrTe, with properties calculated at the PBE-GGA level.

V (Å³ per cell): 160
M_tot (μB per atom): 1.389
Total energy (eV/atom): -3.8240
Space-group type: Amm2

a = 4.806 Å, b = 5.190 Å, c = 6.910 Å
α = 67.99°, β = 90.00°, γ = 90.00°
Each line ends with the local moment (μB).
Fractional positions:
Cr1 0.500 0.573 0.729  4.15
Te1 0.000 0.682 0.511  -0.01
K1 0.000 0.977 0.923  0.03
K2 0.500 0.268 0.337  0.02

=====

# 2
Below is a relaxed structure of KCrTe3, with properties calculated at the PBE-GGA level.

V (Å³ per cell): 197
Distance to the lowest polymorph of the same formula (meV per atom): 2037
M_tot (μB per atom): 0.186
Total energy (eV/atom): -2.2884
Space-group type: Pm-3m

a = 5.819 Å, b = 5.819 Å, c = 5.819 Å
α = 90.00°, β = 90.00°, γ = 90.00°
Each line ends with the local moment (μB).
Fractional positions:
Te1 0.500 0.000 0.000  0.00
K1 0.000 0.000 0.000  -0.01
Cr1 0.500 0.500 0.500  0.86
Te2 0.000 0.500 0.000  -0.01
Te3 0.000 0.000 0.500  -0.01